! CeDyGe2 (PBE-GGA, optimized geometry); values from VASP
! **V**: 95.43 Å³ per cell
! **Final energy**: -5.719 eV per atom
! **Energy of formation from the pure elements**: -0.776 eV per atom
! **SG**: No. 38
&SYSTEM
  ibrav = 0, nat = 4, ntyp = 3
/
ATOMIC_SPECIES
Ce 140.12 Ce.upf
Dy 162.50 Dy.upf
Ge 72.64 Ge.upf
CELL_PARAMETERS angstrom
4.364 0.000 -0.029
0.000 4.030 0.000
-2.145 0.000 5.441
ATOMIC_POSITIONS angstrom
Ce 1.042 0.000 5.312
Dy 1.022 2.015 2.333
Ge -1.144 2.015 4.741
Ge 3.207 0.000 2.880